Record 1
This record from Alexandria via LeMat-Bulk describes an optimized crystal structure of Li12Sn5Pb2. The functional is PBE.

CIF file:
```
data_Li12Sn5Pb2
_cell_length_a 6.018
_cell_length_b 8.122
_cell_length_c 9.512
_cell_angle_alpha 106.98
_cell_angle_beta 90.00
_cell_angle_gamma 111.75
_symmetry_space_group_name_H-M 'P 1'
_symmetry_Int_Tables_number 1
_symmetry_space_group_name_Hall 'P 1'
loop_
_atom_site_label
_atom_site_type_symbol
_atom_site_fract_x
_atom_site_fract_y
_atom_site_fract_z
Li1 Li 0.578 0.157 0.414
Li2 Li 0.943 0.393 0.228
Li3 Li 0.351 0.232 0.753
Sn1 Sn 0.731 0.463 0.987
Pb1 Pb 0.747 0.000 0.000
Li4 Li 0.948 0.895 0.738
Sn2 Sn 0.214 0.429 0.500
Sn3 Sn 0.786 0.571 0.500
Li5 Li 0.450 0.393 0.228
Li6 Li 0.119 0.768 0.247
Li7 Li 0.422 0.843 0.586
Sn4 Sn 0.269 0.537 0.013
Li8 Li 0.881 0.232 0.753
Li9 Li 0.052 0.105 0.262
Sn5 Sn 0.000 0.000 0.500
Pb2 Pb 0.253 0.000 0.000
Li10 Li 0.550 0.607 0.772
Li11 Li 0.057 0.607 0.772
Li12 Li 0.649 0.768 0.247
```

Summary:
Total moment = 0.000 μB per formula unit
E_tot = -2.866 eV/atom
DOS at the Fermi energy = 5.67 states/eV/f.u.
Density = 4.42 g cm⁻³
ΔH_f (0 K) = -0.213 eV/atom

Record 2
This record from Alexandria via LeMat-Bulk describes an optimized crystal structure of Li3SnPb2. The functional is PBE.

CIF file:
```
data_Li3SnPb2
_cell_length_a 3.533
_cell_length_b 3.533
_cell_length_c 10.498
_cell_angle_alpha 90.00
_cell_angle_beta 90.00
_cell_angle_gamma 90.00
_symmetry_space_group_name_H-M 'P 1'
_symmetry_Int_Tables_number 1
_symmetry_space_group_name_Hall 'P 1'
loop_
_atom_site_label
_atom_site_type_symbol
_atom_site_fract_x
_atom_site_fract_y
_atom_site_fract_z
Li1 Li 0.000 0.000 0.345
Li2 Li 0.000 0.000 0.655
Li3 Li 0.000 0.000 0.000
Sn1 Sn 0.500 0.500 0.500
Pb1 Pb 0.500 0.500 0.827
Pb2 Pb 0.500 0.500 0.173
```

Summary:
Total moment = 0.000 μB per formula unit
E_tot = -3.140 eV/atom
DOS at the Fermi energy = 1.79 states/eV/f.u.
Energy above the most stable polymorph in this dataset = 0.000 eV/atom
Density = 7.02 g cm⁻³
ΔH_f (0 K) = -0.280 eV/atom

Record 3
This record from Alexandria via LeMat-Bulk describes an optimized crystal structure of Li12Sn5Pb3. The functional is PBE.

CIF file:
```
data_Li12Sn5Pb3
_cell_length_a 13.921
_cell_length_b 13.921
_cell_length_c 13.921
_cell_angle_alpha 109.47
_cell_angle_beta 109.47
_cell_angle_gamma 109.47
_symmetry_space_group_name_H-M 'P 1'
_symmetry_Int_Tables_number 1
_symmetry_space_group_name_Hall 'P 1'
loop_
_atom_site_label
_atom_site_type_symbol
_atom_site_fract_x
_atom_site_fract_y
_atom_site_fract_z
Pb1 Pb 0.750 0.875 0.625
Pb2 Pb 0.875 0.125 0.250
Pb3 Pb 0.125 0.875 0.750
Sn1 Sn 0.750 0.625 0.375
Li1 Li 0.652 0.077 0.227
Li2 Li 0.650 0.423 0.575
Li3 Li 0.425 0.077 0.350
Li4 Li 0.075 0.150 0.423
Pb4 Pb 0.625 0.250 0.375
Li5 Li 0.848 0.575 0.925
Sn2 Sn 0.750 0.125 0.875
Sn3 Sn 0.625 0.875 0.250
Li6 Li 0.575 0.652 0.425
Sn4 Sn 0.250 0.875 0.125
Li7 Li 0.923 0.575 0.150
Li8 Li 0.925 0.850 0.773
Li9 Li 0.848 0.273 0.423
Pb5 Pb 0.875 0.750 0.125
Li10 Li 0.727 0.575 0.150
Li11 Li 0.727 0.152 0.077
Li12 Li 0.577 0.350 0.925
Li13 Li 0.652 0.575 0.925
Pb6 Pb 0.375 0.625 0.250
Pb7 Pb 0.125 0.250 0.875
Li14 Li 0.650 0.227 0.575
Sn5 Sn 0.500 0.500 0.500
Li15 Li 0.925 0.850 0.577
Sn6 Sn 0.875 0.625 0.750
Li16 Li 0.850 0.925 0.273
Li17 Li 0.575 0.848 0.425
Pb8 Pb 0.625 0.375 0.750
Li18 Li 0.077 0.425 0.850
Sn7 Sn 0.875 0.250 0.625
Li19 Li 0.075 0.925 0.152
Sn8 Sn 0.000 0.500 0.500
Sn9 Sn 0.000 0.500 0.000
Sn10 Sn 0.250 0.375 0.625
Sn11 Sn 0.125 0.375 0.250
Li20 Li 0.348 0.923 0.773
Li21 Li 0.350 0.577 0.425
Li22 Li 0.773 0.423 0.348
Li23 Li 0.425 0.273 0.350
Li24 Li 0.923 0.348 0.273
Li25 Li 0.075 0.150 0.227
Pb9 Pb 0.250 0.125 0.375
Li26 Li 0.925 0.075 0.652
Sn12 Sn 0.125 0.750 0.375
Li27 Li 0.150 0.075 0.923
Sn13 Sn 0.500 0.000 0.000
Li28 Li 0.423 0.773 0.848
Sn14 Sn 0.000 0.000 0.500
Li29 Li 0.425 0.348 0.575
Li30 Li 0.575 0.727 0.650
Li31 Li 0.152 0.727 0.577
Li32 Li 0.425 0.152 0.575
Sn15 Sn 0.500 0.000 0.500
Li33 Li 0.575 0.923 0.650
Li34 Li 0.925 0.075 0.848
Li35 Li 0.350 0.773 0.425
Sn16 Sn 0.375 0.125 0.750
Sn17 Sn 0.500 0.500 0.000
Li36 Li 0.075 0.925 0.348
Li37 Li 0.773 0.350 0.925
Pb10 Pb 0.250 0.625 0.875
Pb11 Pb 0.375 0.750 0.625
Sn18 Sn 0.000 0.000 0.000
Li38 Li 0.423 0.650 0.075
Li39 Li 0.577 0.227 0.152
Li40 Li 0.850 0.925 0.077
Li41 Li 0.152 0.425 0.075
Li42 Li 0.077 0.652 0.727
Li43 Li 0.273 0.848 0.923
Pb12 Pb 0.750 0.375 0.125
Sn19 Sn 0.375 0.250 0.125
Li44 Li 0.227 0.650 0.075
Li45 Li 0.150 0.075 0.727
Li46 Li 0.273 0.425 0.850
Li47 Li 0.348 0.425 0.075
Li48 Li 0.227 0.577 0.652
Sn20 Sn 0.625 0.750 0.875
```

Summary:
Total moment = 0.000 μB per formula unit
E_tot = -2.561 eV/atom
DOS at the Fermi energy = 13.43 states/eV/f.u.
Density = 4.15 g cm⁻³
ΔH_f (0 K) = 0.145 eV/atom

Record 4
This record from Alexandria via LeMat-Bulk describes an optimized crystal structure of Li4Sn3Pb3. The functional is PBE.

CIF file:
```
data_Li4Sn3Pb3
_cell_length_a 8.850
_cell_length_b 8.850
_cell_length_c 8.850
_cell_angle_alpha 109.47
_cell_angle_beta 109.47
_cell_angle_gamma 109.47
_symmetry_space_group_name_H-M 'P 1'
_symmetry_Int_Tables_number 1
_symmetry_space_group_name_Hall 'P 1'
loop_
_atom_site_label
_atom_site_type_symbol
_atom_site_fract_x
_atom_site_fract_y
_atom_site_fract_z
Sn1 Sn 0.750 0.125 0.875
Pb1 Pb 0.875 0.250 0.625
Sn2 Sn 0.250 0.375 0.625
Li1 Li 0.000 0.000 0.782
Li2 Li 0.782 0.500 0.000
Li3 Li 0.000 0.000 0.282
Sn3 Sn 0.125 0.750 0.375
Sn4 Sn 0.875 0.625 0.750
Li4 Li 0.282 0.500 0.000
Sn5 Sn 0.625 0.875 0.250
Pb2 Pb 0.375 0.125 0.750
Li5 Li 0.718 0.218 0.218
Pb3 Pb 0.625 0.750 0.875
Pb4 Pb 0.750 0.625 0.375
Li6 Li 0.500 0.282 0.500
Pb5 Pb 0.125 0.375 0.250
Sn6 Sn 0.375 0.250 0.125
Li7 Li 0.218 0.718 0.718
Li8 Li 0.500 0.782 0.500
Pb6 Pb 0.250 0.875 0.125
```

Summary:
Total moment = 0.000 μB per formula unit
E_tot = -3.214 eV/atom
DOS at the Fermi energy = 2.60 states/eV/f.u.
Density = 6.26 g cm⁻³
ΔH_f (0 K) = -0.135 eV/atom

Record 5
This record from Alexandria via LeMat-Bulk describes an optimized crystal structure of LiSn3Pb. The functional is PBE.

CIF file:
```
data_LiSn3Pb
_cell_length_a 3.440
_cell_length_b 8.553
_cell_length_c 9.282
_cell_angle_alpha 73.38
_cell_angle_beta 90.01
_cell_angle_gamma 90.00
_symmetry_space_group_name_H-M 'P 1'
_symmetry_Int_Tables_number 1
_symmetry_space_group_name_Hall 'P 1'
loop_
_atom_site_label
_atom_site_type_symbol
_atom_site_fract_x
_atom_site_fract_y
_atom_site_fract_z
Sn1 Sn 0.381 0.435 0.749
Sn2 Sn 0.381 0.004 0.335
Pb1 Pb 0.882 0.188 0.558
Sn3 Sn 0.381 0.018 0.883
Li1 Li 0.881 0.845 0.147
Li2 Li 0.381 0.830 0.659
Sn4 Sn 0.881 0.671 0.471
Pb2 Pb 0.382 0.487 0.248
Sn5 Sn 0.881 0.657 0.922
Sn6 Sn 0.881 0.240 0.057
```

Summary:
Total moment = 0.000 μB per formula unit
E_tot = -3.600 eV/atom
DOS at the Fermi energy = 1.65 states/eV/f.u.
Energy above the most stable polymorph in this dataset = 0.000 eV/atom
Density = 7.24 g cm⁻³
ΔH_f (0 K) = -0.074 eV/atom

Record 6
This record from Alexandria via LeMat-Bulk describes an optimized crystal structure of LiSn2Pb8. The functional is PBE.

CIF file:
```
data_LiSn2Pb8
_cell_length_a 5.750
_cell_length_b 8.209
_cell_length_c 8.209
_cell_angle_alpha 67.75
_cell_angle_beta 80.42
_cell_angle_gamma 80.42
_symmetry_space_group_name_H-M 'P 1'
_symmetry_Int_Tables_number 1
_symmetry_space_group_name_Hall 'P 1'
loop_
_atom_site_label
_atom_site_type_symbol
_atom_site_fract_x
_atom_site_fract_y
_atom_site_fract_z
Pb1 Pb 0.360 0.372 0.372
Li1 Li 0.000 0.000 0.000
Pb2 Pb 0.941 0.227 0.227
Pb3 Pb 0.799 0.206 0.641
Pb4 Pb 0.201 0.794 0.359
Pb5 Pb 0.059 0.773 0.773
Sn1 Sn 0.499 0.886 0.886
Pb6 Pb 0.201 0.359 0.794
Pb7 Pb 0.640 0.628 0.628
Pb8 Pb 0.799 0.641 0.206
Sn2 Sn 0.501 0.114 0.114
```

Summary:
Total moment = 0.000 μB per formula unit
E_tot = -3.554 eV/atom
DOS at the Fermi energy = 4.25 states/eV/f.u.
Density = 8.99 g cm⁻³
ΔH_f (0 K) = 0.045 eV/atom

Record 7
This record from Alexandria via LeMat-Bulk describes an optimized crystal structure of LiSn3Pb. The functional is PBE.

CIF file:
```
data_LiSn3Pb
_cell_length_a 5.841
_cell_length_b 5.841
_cell_length_c 5.841
_cell_angle_alpha 90.00
_cell_angle_beta 90.00
_cell_angle_gamma 90.00
_symmetry_space_group_name_H-M 'P 1'
_symmetry_Int_Tables_number 1
_symmetry_space_group_name_Hall 'P 1'
loop_
_atom_site_label
_atom_site_type_symbol
_atom_site_fract_x
_atom_site_fract_y
_atom_site_fract_z
Li1 Li 0.500 0.500 0.500
Sn1 Sn 0.000 0.000 0.500
Sn2 Sn 0.500 0.000 0.000
Pb1 Pb 0.000 0.000 0.000
Sn3 Sn 0.000 0.500 0.000
```

Summary:
Total moment = 0.000 μB per formula unit
E_tot = -2.898 eV/atom
DOS at the Fermi energy = 4.33 states/eV/f.u.
Energy above the most stable polymorph in this dataset = 0.701 eV/atom
Density = 4.75 g cm⁻³
ΔH_f (0 K) = 0.628 eV/atom

Record 8
This record from Alexandria via LeMat-Bulk describes an optimized crystal structure of LiSnPb3. The functional is PBE.

CIF file:
```
data_LiSnPb3
_cell_length_a 5.236
_cell_length_b 5.236
_cell_length_c 5.236
_cell_angle_alpha 90.00
_cell_angle_beta 90.00
_cell_angle_gamma 90.00
_symmetry_space_group_name_H-M 'P 1'
_symmetry_Int_Tables_number 1
_symmetry_space_group_name_Hall 'P 1'
loop_
_atom_site_label
_atom_site_type_symbol
_atom_site_fract_x
_atom_site_fract_y
_atom_site_fract_z
Li1 Li 0.000 0.000 0.000
Sn1 Sn 0.500 0.500 0.500
Pb1 Pb 0.000 0.500 0.000
Pb2 Pb 0.000 0.000 0.500
Pb3 Pb 0.500 0.000 0.000
```

Summary:
Total moment = 0.000 μB per formula unit
E_tot = -3.255 eV/atom
DOS at the Fermi energy = 2.79 states/eV/f.u.
Energy above the most stable polymorph in this dataset = 0.174 eV/atom
Density = 8.65 g cm⁻³
ΔH_f (0 K) = 0.153 eV/atom